# 1
VASP calculation (PBE) on a relaxed Zr2TeOs crystal. Values from VASP.

Quantum ESPRESSO input file:
```
&SYSTEM
  ibrav = 0, nat = 4, ntyp = 3
/
ATOMIC_SPECIES
Os 190.23 Os.upf
Te 127.60 Te.upf
Zr 91.22 Zr.upf
CELL_PARAMETERS angstrom
-0.319 4.306 -0.490
-3.523 -0.195 0.575
-0.943 0.560 5.539
ATOMIC_POSITIONS crystal
Os 0.000 0.719 0.435
Te 0.500 0.546 0.783
Zr 0.000 0.964 0.947
Zr 0.500 0.270 0.335
```

## Properties
E_form (uncorrected): -352 meV per atom
Total DFT energy (no corrections): -0.302 Ha/atom
V: 20.8 A^3/atom


# 2
VASP calculation (PBE) on a relaxed Nd2TlPd6 crystal. Values from VASP.

Quantum ESPRESSO input file:
```
&SYSTEM
  ibrav = 0, nat = 9, ntyp = 3
/
ATOMIC_SPECIES
Nd 144.24 Nd.upf
Tl 204.38 Tl.upf
Pd 106.42 Pd.upf
CELL_PARAMETERS angstrom
6.249 -0.030 -0.017
0.030 5.828 0.006
0.030 2.909 5.050
ATOMIC_POSITIONS crystal
Nd 0.793 0.667 0.667
Nd 0.207 0.333 0.333
Tl 0.000 0.000 0.000
Pd 0.328 0.351 0.825
Pd 0.327 0.824 0.824
Pd 0.328 0.825 0.351
Pd 0.672 0.649 0.175
Pd 0.673 0.176 0.176
Pd 0.672 0.175 0.649
```

## Properties
Total DFT energy (no corrections): -0.198 Ha/atom
V: 20.4 A^3/atom


# 3
VASP calculation (PBE) on a relaxed Ba2VHgC crystal. Values from VASP.

Quantum ESPRESSO input file:
```
&SYSTEM
  ibrav = 0, nat = 5, ntyp = 4
/
ATOMIC_SPECIES
C 12.01 C.upf
V 50.94 V.upf
Hg 200.59 Hg.upf
Ba 137.33 Ba.upf
CELL_PARAMETERS angstrom
6.036 0.000 0.000
0.000 4.150 0.000
0.000 0.000 6.036
ATOMIC_POSITIONS crystal
C 0.000 0.000 0.000
V 0.500 0.500 0.500
Hg 0.000 0.500 0.000
Ba 0.000 0.000 0.500
Ba 0.500 0.000 0.000
```

## Properties
Total DFT energy (no corrections): -0.125 Ha/atom
V: 30.2 A^3/atom


# 4
VASP calculation (PBE) on a relaxed Pu4TcGe crystal. Values from VASP.

Quantum ESPRESSO input file:
```
&SYSTEM
  ibrav = 0, nat = 6, ntyp = 3
/
ATOMIC_SPECIES
Pu 244.00 Pu.upf
Tc 98.00 Tc.upf
Ge 72.64 Ge.upf
CELL_PARAMETERS angstrom
5.581 -0.242 0.786
-3.177 4.596 0.776
-0.168 -0.294 5.223
ATOMIC_POSITIONS crystal
Pu 0.348 0.153 0.501
Pu 0.648 0.853 0.501
Pu 0.848 0.653 0.001
Pu 0.148 0.353 0.001
Tc 0.998 0.503 0.501
Ge 0.498 0.003 0.001
```

## Properties
Distance to the lowest polymorph of the same formula: 0 meV/atom
Total DFT energy (no corrections): -0.444 Ha/atom
V: 22.1 A^3/atom


# 5
VASP calculation (PBE) on a relaxed SrTl2Si2 crystal. Values from VASP.

Quantum ESPRESSO input file:
```
&SYSTEM
  ibrav = 0, nat = 10, ntyp = 3
/
ATOMIC_SPECIES
Sr 87.62 Sr.upf
Tl 204.38 Tl.upf
Si 28.09 Si.upf
CELL_PARAMETERS angstrom
8.473 0.000 0.000
0.000 8.473 0.000
0.000 0.000 3.595
ATOMIC_POSITIONS crystal
Sr 0.000 0.000 0.000
Sr 0.500 0.500 0.000
Tl 0.370 0.870 0.000
Tl 0.870 0.630 0.000
Tl 0.630 0.130 0.000
Tl 0.130 0.370 0.000
Si 0.166 0.666 0.500
Si 0.666 0.834 0.500
Si 0.834 0.334 0.500
Si 0.334 0.166 0.500
```

## Properties
Distance to the lowest polymorph of the same formula: 238 meV/atom
E_form (uncorrected): 249 meV per atom
Total DFT energy (no corrections): -0.118 Ha/atom
V: 25.8 A^3/atom


# 6
VASP calculation (PBE) on a relaxed In2Ag4Au5 crystal. Values from VASP.

Quantum ESPRESSO input file:
```
&SYSTEM
  ibrav = 0, nat = 11, ntyp = 3
/
ATOMIC_SPECIES
In 114.82 In.upf
Ag 107.87 Ag.upf
Au 196.97 Au.upf
CELL_PARAMETERS angstrom
2.961 0.000 0.000
0.000 6.905 0.166
-1.480 -1.845 10.981
ATOMIC_POSITIONS crystal
In 0.345 0.379 0.691
In 0.655 0.621 0.309
Ag 0.917 0.713 0.835
Ag 0.042 0.678 0.084
Ag 0.083 0.287 0.165
Ag 0.958 0.322 0.916
Au 0.151 0.968 0.303
Au 0.849 0.032 0.697
Au 0.216 0.334 0.431
Au 0.500 0.000 0.000
Au 0.784 0.666 0.569
```

## Properties
Distance to the lowest polymorph of the same formula: 125 meV/atom
Total DFT energy (no corrections): -0.109 Ha/atom
V: 20.5 A^3/atom